Record 1
First-principles (GGA-PBE) data for a relaxed structure of NpCo2PN, as listed in the Alexandria database.

Cell lengths 3.4686, 5.6813, 6.5469 Å; angles 90.00, 90.00, 107.77 degrees
Last column: nearest neighbours and their distance in Å.
Fractional positions:
Co1 0.1730 0.3461 0.9453  1 N 1.91
Co2 0.1730 0.3461 0.5547  1 N 1.91
Co3 0.8270 0.6539 0.0547  1 N 1.91
Co4 0.8270 0.6539 0.4453  1 N 1.91
P1 0.7315 0.4630 0.7500  6 Co 2.25
P2 0.2685 0.5370 0.2500  6 Co 2.25
N1 0.0000 0.0000 0.5000  2 Co 1.91
N2 0.0000 0.0000 0.0000  2 Co 1.91
Np1 0.4628 0.9255 0.7500  4 N 2.42
Np2 0.5372 0.0745 0.2500  4 N 2.42

Computed properties:
magnetic moment	0.44	μB per atom
D(E_F)	7.01	states/eV/f.u.
E_form (uncorrected)	-812	meV per atom
V	123	Å³/cell

Record 2
First-principles (GGA-PBE) data for a relaxed structure of NpPa2CoN4, as listed in the Alexandria database.

Cell lengths 3.4067, 5.9664, 11.3658 Å; angles 90.00, 90.00, 106.59 degrees
Last column: nearest neighbours and their distance in Å.
Fractional positions:
N1 0.2754 0.5509 0.3797  1 Co 1.98
N2 0.7246 0.4491 0.6203  1 Co 1.98
N3 0.0000 0.0000 0.5000  4 Pa 2.38
N4 0.4542 0.9084 0.7500  2 Co 2.15, 2 Pa 2.35
N5 0.2754 0.5509 0.1203  1 Co 1.98
N6 0.5458 0.0916 0.2500  2 Co 2.15, 2 Pa 2.35
N7 0.7246 0.4491 0.8797  1 Co 1.98
N8 0.0000 0.0000 0.0000  4 Pa 2.38
Np1 0.8879 0.7758 0.2500  6 N 2.48-2.59
Np2 0.1121 0.2242 0.7500  6 N 2.48-2.59
Co1 0.1599 0.3197 0.2500  4 N 1.98-2.15
Co2 0.8401 0.6803 0.7500  4 N 1.98-2.15
Pa1 0.6317 0.2635 0.0619  6 N 2.33-2.46
Pa2 0.3683 0.7365 0.5619  6 N 2.33-2.46
Pa3 0.6317 0.2635 0.4381  6 N 2.33-2.46
Pa4 0.3683 0.7365 0.9381  6 N 2.33-2.46

Computed properties:
magnetic moment	0.42	μB per atom
D(E_F)	9.55	states/eV/f.u.
E_form (uncorrected)	-1178	meV per atom
V	221	Å³/cell

Record 3
First-principles (GGA-PBE) data for a relaxed structure of Np2PaCoN4, as listed in the Alexandria database.

Cell lengths 3.3624, 5.7983, 11.3970 Å; angles 90.00, 90.00, 106.85 degrees
Last column: nearest neighbours and their distance in Å.
Fractional positions:
Pa1 0.8894 0.7788 0.2500  6 N 2.40-2.52
Pa2 0.1106 0.2212 0.7500  6 N 2.40-2.52
Np1 0.3680 0.7360 0.9415  6 N 2.33-2.46
Np2 0.6320 0.2640 0.4415  6 N 2.33-2.46
Np3 0.6320 0.2640 0.0585  6 N 2.33-2.46
Np4 0.3680 0.7360 0.5585  6 N 2.33-2.46
N1 0.2780 0.5560 0.3737  1 Co 1.98
N2 0.2780 0.5560 0.1263  1 Co 1.98
N3 0.0000 0.0000 0.5000  4 Np 2.33
N4 0.7220 0.4440 0.8737  1 Co 1.98
N5 0.5432 0.0865 0.2500  2 Co 2.07
N6 0.4568 0.9135 0.7500  2 Co 2.07
N7 0.0000 0.0000 0.0000  4 Np 2.33
N8 0.7220 0.4440 0.6263  1 Co 1.98
Co1 0.8477 0.6954 0.7500  4 N 1.98-2.07
Co2 0.1523 0.3046 0.2500  4 N 1.98-2.07

Computed properties:
magnetic moment	0.71	μB per atom
D(E_F)	11.45	states/eV/f.u.
E_form (uncorrected)	-1049	meV per atom
V	213	Å³/cell

Record 4
First-principles (GGA-PBE) data for a relaxed structure of NpPa2CoN5, as listed in the Alexandria database.

Cell lengths 3.3758, 6.7664, 10.2414 Å; angles 90.00, 90.00, 104.45 degrees
Last column: nearest neighbours and their distance in Å.
Fractional positions:
Pa1 0.0974 0.1948 0.6851  6 N 2.29-2.51
Pa2 0.1464 0.2929 0.3063  5 N 2.35-2.57
Pa3 0.9026 0.8052 0.1851  6 N 2.29-2.51
Pa4 0.8536 0.7071 0.8063  5 N 2.35-2.57
N1 0.7240 0.4481 0.1651  3 Pa 2.35-2.44, 2 Np 2.36
N2 0.9501 0.9002 0.5640  2 Co 2.07, 1 Np 2.08, 1 Pa 2.29
N3 0.3380 0.6760 0.3598  1 Co 2.09, 2 Np 2.32
N4 0.3726 0.7452 0.0076  1 Co 2.01, 1 Np 2.23
N5 0.0499 0.0998 0.0640  2 Co 2.07, 1 Np 2.08, 1 Pa 2.29
N6 0.6620 0.3240 0.8598  1 Co 2.09, 2 Np 2.32
N7 0.2760 0.5519 0.6651  3 Pa 2.35-2.44, 2 Np 2.36
N8 0.5244 0.0487 0.2760  1 Co 1.91
N9 0.6274 0.2548 0.5076  1 Co 2.01, 1 Np 2.23
N10 0.4756 0.9513 0.7760  1 Co 1.91
Co1 0.4800 0.9601 0.4534  5 N 1.91-2.09
Co2 0.5200 0.0399 0.9534  5 N 1.91-2.09
Np1 0.7976 0.5953 0.5066  4 N 2.08-2.32
Np2 0.2024 0.4047 0.0066  4 N 2.08-2.32

Computed properties:
magnetic moment	0.35	μB per atom
D(E_F)	9.16	states/eV/f.u.
E_form (uncorrected)	-1058	meV per atom
V	227	Å³/cell

Record 5
First-principles (GGA-PBE) data for a relaxed structure of PmNp2CoN4, as listed in the Alexandria database.

Cell lengths 3.4301, 5.8909, 11.2958 Å; angles 90.00, 90.00, 106.93 degrees
Last column: nearest neighbours and their distance in Å.
Fractional positions:
Np1 0.3697 0.7394 0.5572  6 N 2.25-2.37
Np2 0.6303 0.2606 0.4428  6 N 2.25-2.37
Np3 0.6303 0.2606 0.0572  6 N 2.25-2.37
Np4 0.3697 0.7394 0.9428  6 N 2.25-2.37
Co1 0.1580 0.3160 0.2500  4 N 1.97-2.06
Co2 0.8420 0.6840 0.7500  4 N 1.97-2.06
Pm1 0.1042 0.2084 0.7500  6 N 2.50-2.74
Pm2 0.8958 0.7916 0.2500  6 N 2.50-2.74
N1 0.5574 0.1148 0.2500  2 Co 2.06
N2 0.7349 0.4697 0.8877  1 Co 1.97
N3 0.4426 0.8852 0.7500  2 Co 2.06
N4 0.2651 0.5303 0.3877  1 Co 1.97
N5 0.0000 0.0000 0.5000  4 Np 2.35
N6 0.2651 0.5303 0.1123  1 Co 1.97
N7 0.0000 0.0000 0.0000  4 Np 2.35
N8 0.7349 0.4697 0.6123  1 Co 1.97

Computed properties:
magnetic moment	0.50	μB per atom
D(E_F)	9.28	states/eV/f.u.
E_form (uncorrected)	-1040	meV per atom
V	218	Å³/cell

Record 6
First-principles (GGA-PBE) data for a relaxed structure of PrNp2CoN4, as listed in the Alexandria database.

Cell lengths 3.4535, 5.9276, 11.3177 Å; angles 90.00, 90.00, 106.94 degrees
Last column: nearest neighbours and their distance in Å.
Fractional positions:
N1 0.7368 0.4736 0.8895  1 Co 1.97
N2 0.2632 0.5264 0.3895  1 Co 1.97
N3 0.5625 0.1249 0.2500  2 Co 2.05
N4 0.0000 0.0000 0.5000  4 Np 2.36
N5 0.0000 0.0000 0.0000  4 Np 2.36
N6 0.4375 0.8751 0.7500  2 Co 2.05
N7 0.2632 0.5264 0.1105  1 Co 1.97
N8 0.7368 0.4736 0.6105  1 Co 1.97
Np1 0.3695 0.7389 0.9433  6 N 2.24-2.37
Np2 0.3695 0.7389 0.5567  6 N 2.24-2.37
Np3 0.6305 0.2611 0.4433  6 N 2.24-2.37
Np4 0.6305 0.2611 0.0567  6 N 2.24-2.37
Pr1 0.8972 0.7944 0.2500  6 N 2.55-2.79
Pr2 0.1028 0.2056 0.7500  6 N 2.55-2.79
Co1 0.8405 0.6810 0.7500  4 N 1.97-2.05
Co2 0.1595 0.3190 0.2500  4 N 1.97-2.05

Computed properties:
magnetic moment	0.50	μB per atom
D(E_F)	9.43	states/eV/f.u.
E_form (uncorrected)	-1031	meV per atom
V	222	Å³/cell

Record 7
First-principles (GGA-PBE) data for a relaxed structure of PuNp2CoN4, as listed in the Alexandria database.

Cell lengths 3.4045, 5.8278, 11.2725 Å; angles 90.00, 90.00, 106.98 degrees
Last column: nearest neighbours and their distance in Å.
Fractional positions:
Co1 0.8406 0.6813 0.7500  4 N 1.95-2.09
Co2 0.1594 0.3187 0.2500  4 N 1.95-2.09
Np1 0.6300 0.2600 0.0582  6 N 2.25-2.40
Np2 0.3700 0.7400 0.9418  6 N 2.25-2.40
Np3 0.3700 0.7400 0.5582  6 N 2.25-2.40
Np4 0.6300 0.2600 0.4418  6 N 2.25-2.40
N1 0.4492 0.8983 0.7500  2 Co 2.09, 2 Np 2.33
N2 0.2697 0.5394 0.3847  1 Co 1.95
N3 0.7303 0.4606 0.8847  1 Co 1.95
N4 0.0000 0.0000 0.0000  4 Np 2.33
N5 0.2697 0.5394 0.1153  1 Co 1.95
N6 0.5508 0.1017 0.2500  2 Co 2.09, 2 Np 2.33
N7 0.7303 0.4606 0.6153  1 Co 1.95
N8 0.0000 0.0000 0.5000  4 Np 2.33
Pu1 0.1072 0.2143 0.7500  6 N 2.45-2.66
Pu2 0.8928 0.7857 0.2500  6 N 2.45-2.66

Computed properties:
magnetic moment	1.13	μB per atom
D(E_F)	14.98	states/eV/f.u.
E_form (uncorrected)	-965	meV per atom
V	214	Å³/cell

Record 8
First-principles (GGA-PBE) data for a relaxed structure of NpCoSiN, as listed in the Alexandria database.

Cell lengths 3.6742, 3.6742, 8.0459 Å; angles 90.00, 90.00, 90.00 degrees
Last column: nearest neighbours and their distance in Å.
Fractional positions:
N1 0.0000 0.5000 0.1215  1 Si 1.81
N2 0.5000 0.0000 0.8785  1 Si 1.81
Np1 0.0000 0.5000 0.8407  1 N 2.26
Np2 0.5000 0.0000 0.1593  1 N 2.26
Si1 0.5000 0.0000 0.6539  1 N 1.81
Si2 0.0000 0.5000 0.3461  1 N 1.81
Co1 0.0000 0.0000 0.5000  4 Si 2.22
Co2 0.5000 0.5000 0.5000  4 Si 2.22

Computed properties:
magnetic moment	0.85	μB per atom
D(E_F)	6.00	states/eV/f.u.
E_form (uncorrected)	-810	meV per atom
V	109	Å³/cell

Record 9
First-principles (GGA-PBE) data for a relaxed structure of Tb2NpCoN5, as listed in the Alexandria database.

Cell lengths 3.4014, 6.7172, 10.3617 Å; angles 90.00, 90.00, 104.67 degrees
Last column: nearest neighbours and their distance in Å.
Fractional positions:
Tb1 0.8678 0.7356 0.8164  7 N 2.37-2.64
Tb2 0.1322 0.2644 0.3164  7 N 2.37-2.64
Tb3 0.9005 0.8009 0.1835  6 N 2.38-2.61
Tb4 0.0995 0.1991 0.6835  6 N 2.38-2.61
N1 0.0397 0.0794 0.0350  2 Co 1.90, 1 Np 2.13
N2 0.6780 0.3560 0.8910  1 Co 2.12, 2 Np 2.17
N3 0.5090 0.0181 0.2770  1 Co 1.89
N4 0.4910 0.9819 0.7770  1 Co 1.89
N5 0.9603 0.9206 0.5350  2 Co 1.90, 1 Np 2.13
N6 0.7161 0.4322 0.1524  2 Np 2.21, 1 Tb 2.42
N7 0.3680 0.7360 0.9964  1 Co 2.06, 1 Np 2.15
N8 0.3220 0.6440 0.3910  1 Co 2.12, 2 Np 2.17
N9 0.2839 0.5678 0.6524  2 Np 2.21, 1 Tb 2.42
N10 0.6320 0.2640 0.4964  1 Co 2.06, 1 Np 2.15
Np1 0.7969 0.5937 0.5173  6 N 2.13-2.21
Np2 0.2031 0.4063 0.0173  6 N 2.13-2.21
Co1 0.4766 0.9533 0.4550  5 N 1.89-2.12
Co2 0.5234 0.0467 0.9550  5 N 1.89-2.12

Computed properties:
magnetic moment	0.12	μB per atom
D(E_F)	5.87	states/eV/f.u.
E_form (uncorrected)	-936	meV per atom
V	229	Å³/cell